# 1
# TaSi2Pb

A relaxed structure of TaSi2Pb (PBE, Alexandria).

Values from the calculation:
As for the space group: I-42d (122). The uncorrected formation energy comes out at 0.76 eV per atom. For the density of states at the Fermi level, the calculation gives 5.70 states/eV/cell.

a = 7.4177 Å, b = 7.4177 Å, c = 7.4177 Å
α = 131.37°, β = 131.37°, γ = 71.22°
Fractional positions:
Ta 0.0000 0.0000 0.0000
Ta 0.7500 0.2500 0.5000
Si 0.0860 0.6250 0.9610
Si 0.3750 0.3360 0.4610
Si 0.6640 0.1250 0.0390
Si 0.8750 0.9140 0.5390
Pb 0.2500 0.7500 0.5000
Pb 0.5000 0.5000 0.0000

# 2
# TaSiPb2

A relaxed structure of TaSiPb2 (PBE, Alexandria).

Values from the calculation:
As for the space group: Pmm2 (25). The uncorrected formation energy comes out at 0.19 eV per atom. For the density of states at the Fermi level, the calculation gives 3.09 states/eV/cell.

a = 3.3720 Å, b = 3.4895 Å, c = 8.2230 Å
α = 90.00°, β = 90.00°, γ = 90.00°
Fractional positions:
Ta 0.0000 0.0000 0.0000
Si 0.5000 0.5000 0.8939
Pb 0.0000 0.0000 0.6227
Pb 0.5000 0.5000 0.2647

# 3
# TaSi3Pb

A relaxed structure of TaSi3Pb (PBE, Alexandria).

Values from the calculation:
As for the space group: Pm-3m (221). The uncorrected formation energy comes out at 2.18 eV per atom. For the density of states at the Fermi level, the calculation gives 7.27 states/eV/cell.

a = 5.0416 Å, b = 5.0416 Å, c = 5.0416 Å
α = 90.00°, β = 90.00°, γ = 90.00°
Fractional positions:
Ta 0.0000 0.0000 0.0000
Si 0.0000 0.5000 0.5000
Si 0.5000 0.0000 0.5000
Si 0.5000 0.5000 0.0000
Pb 0.5000 0.5000 0.5000

# 4
# Ta2SiPb

A relaxed structure of Ta2SiPb (PBE, Alexandria).

Values from the calculation:
As for the space group: R-3m (166). The uncorrected formation energy comes out at 0.38 eV per atom. For the density of states at the Fermi level, the calculation gives 3.43 states/eV/cell.

a = 9.4548 Å, b = 9.4548 Å, c = 9.4548 Å
α = 18.66°, β = 18.66°, γ = 18.66°
Fractional positions:
Ta 0.2422 0.2422 0.2422
Ta 0.7578 0.7578 0.7578
Si 0.5000 0.5000 0.5000
Pb 0.0000 0.0000 0.0000

# 5
# ZrTaSi2Pb

A relaxed structure of ZrTaSi2Pb (PBE, Alexandria).

Values from the calculation:
As for the space group: P4/mmm (123). The uncorrected formation energy comes out at 2.01 eV per atom. For the density of states at the Fermi level, the calculation gives 7.18 states/eV/cell.

a = 4.9902 Å, b = 4.9902 Å, c = 5.4140 Å
α = 90.00°, β = 90.00°, γ = 90.00°
Fractional positions:
Zr 0.0000 0.0000 0.0000
Ta 0.5000 0.5000 0.0000
Si 0.0000 0.5000 0.5000
Si 0.5000 0.0000 0.5000
Pb 0.0000 0.0000 0.5000

# 6
# Tb12Si5Pb

A relaxed structure of Tb12Si5Pb (PBE, Alexandria).

Values from the calculation:
As for the space group: Immm (71). The uncorrected formation energy comes out at -0.56 eV per atom. For the density of states at the Fermi level, the calculation gives 12.72 states/eV/cell.

a = 8.5062 Å, b = 8.5062 Å, c = 8.5062 Å
α = 111.98°, β = 111.43°, γ = 105.09°
Fractional positions:
Tb 0.0319 0.2304 0.8015
Tb 0.1804 0.2704 0.4507
Tb 0.1804 0.7296 0.9100
Tb 0.3199 0.0220 0.7021
Tb 0.3199 0.6178 0.2979
Tb 0.4288 0.2304 0.1985
Tb 0.5712 0.7696 0.8015
Tb 0.6801 0.3822 0.7021
Tb 0.6801 0.9780 0.2979
Tb 0.8196 0.2704 0.0900
Tb 0.8196 0.7296 0.5493
Tb 0.9681 0.7696 0.1985
Si 0.0000 0.0000 0.0000
Si 0.1149 0.6149 0.5000
Si 0.3731 0.0000 0.3731
Si 0.6269 0.0000 0.6269
Si 0.8851 0.3851 0.5000
Pb 0.5000 0.5000 0.0000

# 7
# Tb6SiPb2

A relaxed structure of Tb6SiPb2 (PBE, Alexandria).

Values from the calculation:
As for the space group: P-62m (189). The uncorrected formation energy comes out at -0.47 eV per atom. For the density of states at the Fermi level, the calculation gives 8.35 states/eV/cell.

a = 8.3527 Å, b = 8.3527 Å, c = 4.2591 Å
α = 90.00°, β = 90.00°, γ = 120.00°
Fractional positions:
Tb 0.0000 0.3967 0.0000
Tb 0.0000 0.7551 0.5000
Tb 0.2449 0.2449 0.5000
Tb 0.3967 0.0000 0.0000
Tb 0.6033 0.6033 0.0000
Tb 0.7551 0.0000 0.5000
Si 0.0000 0.0000 0.0000
Pb 0.3333 0.6667 0.5000
Pb 0.6667 0.3333 0.5000

# 8
# SiTcPb2

A relaxed structure of SiTcPb2 (PBE, Alexandria).

Values from the calculation:
As for the space group: I-42d (122). The uncorrected formation energy comes out at 1.13 eV per atom. For the density of states at the Fermi level, the calculation gives 6.98 states/eV/cell.

a = 7.4821 Å, b = 7.4821 Å, c = 7.4821 Å
α = 128.64°, β = 128.64°, γ = 75.60°
Fractional positions:
Si 0.0000 0.0000 0.0000
Si 0.7500 0.2500 0.5000
Tc 0.2500 0.7500 0.5000
Tc 0.5000 0.5000 0.0000
Pb 0.1236 0.6250 0.9986
Pb 0.3750 0.3736 0.4986
Pb 0.6264 0.1250 0.0014
Pb 0.8750 0.8764 0.5014

- density of states at the Fermi level of number 6 (Tb12Si5Pb)?
  12.72 states/eV/cell